Record 1
# K2SmHg2Te4 | Alexandria | PBE | relaxed
data_K2SmHg2Te4
_chemical_formula_sum 'K4 Sm2 Hg4 Te8'
_space_group_name_H-M_alt 'C 1 2/m 1'
_space_group_IT_number 12
_space_group_name_Hall '-C 2y'
_cell_length_a 17.464
_cell_length_b 4.514
_cell_length_c 8.822
_cell_angle_alpha 90.00
_cell_angle_beta 114.09
_cell_angle_gamma 90.00
loop_
_atom_site_label
_atom_site_type_symbol
_atom_site_fract_x
_atom_site_fract_y
_atom_site_fract_z
K1 K 0.127 0.000 0.079
Sm1 Sm 0.000 0.000 0.500
Hg1 Hg 0.189 0.500 0.514
Te1 Te 0.018 0.500 0.262
Te2 Te 0.193 0.000 0.737
# **Energy relative to the elements, uncorrected**: -788 meV/atom

=====

Record 2
# KSm2HgTe4 | Alexandria | PBE | relaxed
data_KSm2HgTe4
_chemical_formula_sum 'K4 Sm8 Hg4 Te16'
_space_group_name_H-M_alt 'C m c m'
_space_group_IT_number 63
_space_group_name_Hall '-C 2c 2'
_cell_length_a 4.523
_cell_length_b 15.290
_cell_length_c 16.440
_cell_angle_alpha 90.00
_cell_angle_beta 90.00
_cell_angle_gamma 90.00
loop_
_atom_site_label
_atom_site_type_symbol
_atom_site_fract_x
_atom_site_fract_y
_atom_site_fract_z
K1 K 0.000 0.138 0.250
Sm1 Sm 0.000 0.376 0.069
Hg1 Hg 0.000 0.163 0.750
Te1 Te 0.000 0.000 0.000
Te2 Te 0.000 0.267 0.600
Te3 Te 0.000 0.461 0.250
# **Energy relative to the elements, uncorrected**: -1023 meV/atom

=====

Record 3
Density functional theory data (PBE) for a relaxed structure of KSmTlHg.

```
data_KSmTlHg
_chemical_formula_sum 'K4 Sm4 Tl4 Hg4'
_space_group_name_H-M_alt 'F -4 3 m'
_space_group_IT_number 216
_space_group_name_Hall 'F -4 2 3'
_cell_length_a 7.875
_cell_length_b 7.875
_cell_length_c 7.875
_cell_angle_alpha 90.00
_cell_angle_beta 90.00
_cell_angle_gamma 90.00
loop_
_atom_site_label
_atom_site_type_symbol
_atom_site_fract_x
_atom_site_fract_y
_atom_site_fract_z
K1 K 0.000 0.000 0.000
Sm1 Sm 0.000 0.000 0.500
Tl1 Tl 0.250 0.250 0.250
Hg1 Hg 0.250 0.250 0.750
```

=====

Record 4
Density functional theory data (PBE) for a relaxed structure of KSnHg2.

```
data_KSnHg2
_chemical_formula_sum 'K1 Sn1 Hg2'
_space_group_name_H-M_alt 'P 4/m m m'
_space_group_IT_number 123
_space_group_name_Hall '-P 4 2'
_cell_length_a 3.709
_cell_length_b 3.709
_cell_length_c 8.631
_cell_angle_alpha 90.00
_cell_angle_beta 90.00
_cell_angle_gamma 90.00
loop_
_atom_site_label
_atom_site_type_symbol
_atom_site_fract_x
_atom_site_fract_y
_atom_site_fract_z
K1 K 0.000 0.000 0.000
Sn1 Sn 0.000 0.000 0.500
Hg1 Hg 0.500 0.500 0.275
```

=====

Number 1: E_tot -3.020 eV per atom. Number 2: E_tot -3.949 eV per atom. Number 3: E_tot -2.257 eV per atom. Number 4: E_tot -1.544 eV per atom.